Entry 1:
# BaLi2As

A relaxed structure of BaLi2As (PBE-GGA, Alexandria).

Computed properties:
Calculated formation energy in meV per atom: -464
Total magnetization in μB per formula unit: 0.27
DOS(E_F) in states/eV/atom: 0.778
DFT total energy in eV per atom: -3.064
Crystal system: tetragonal

a = 5.028 Å, b = 5.028 Å, c = 17.692 Å
α = 90.00°, β = 90.00°, γ = 90.00°
Space group I-42d (No. 122)
Inequivalent atoms, fractional coordinates:
Ba  0.000  0.000  0.000 [4 per cell]
Li  0.003  0.250  0.625 [8 per cell]
As  0.000  0.000  0.500 [4 per cell]

=====

Entry 2:
# Pm6Sm5Pu

A relaxed structure of Pm6Sm5Pu (PBE-GGA, Alexandria).

Computed properties:
Calculated formation energy in meV per atom: 49
Total magnetization in μB per formula unit: 6.28
DOS(E_F) in states/eV/atom: 2.001
DFT total energy in eV per atom: -5.486
Crystal system: orthorhombic

a = 5.120 Å, b = 15.369 Å, c = 10.249 Å
α = 90.00°, β = 90.00°, γ = 90.00°
Space group Cmmm (No. 65)
Inequivalent atoms, fractional coordinates:
Pm  0.000  0.000  0.247 [4 per cell]
Pm  0.000  0.335  0.247 [8 per cell]
Sm  0.000  0.164  0.000 [4 per cell]
Sm  0.000  0.167  0.500 [4 per cell]
Sm  0.000  0.500  0.500 [2 per cell]
Pu  0.000  0.500  0.000 [2 per cell]